1.
# Ca2CuHRh, optimized geometry, DFT PBE
# magnetic moment: 0.0 μB/f.u.
# calculated volume: 88.4 Å³ per cell
# ΔE to the lowest computed polymorph: 0.0 meV per atom
data_Ca2CuHRh
_chemical_formula_sum 'Ca2 Cu1 H1 Rh1'
_cell_length_a 4.939
_cell_length_b 4.939
_cell_length_c 3.624
_cell_angle_alpha 90.00
_cell_angle_beta 90.00
_cell_angle_gamma 90.00
_space_group_name_H-M_alt 'P 4/m m m'
_space_group_IT_number 123
_space_group_name_Hall '-P 4 2'
loop_
_atom_site_label
_atom_site_type_symbol
_atom_site_fract_x
_atom_site_fract_y
_atom_site_fract_z
Ca1 Ca 0.000 0.500 0.000
Cu1 Cu 0.000 0.000 0.500
H1 H 0.500 0.500 0.000
Rh1 Rh 0.500 0.500 0.500


2.
# PmHgAs, optimized geometry, DFT PBE
# calculated formation energy: -0.642 eV per atom
# magnetic moment: 0.0 μB/f.u.
# calculated volume: 212.9 Å³ per cell
# ΔE to the lowest computed polymorph: 79.2 meV per atom
data_PmHgAs
_chemical_formula_sum 'Pm2 Hg2 As2'
_cell_length_a 4.110
_cell_length_b 4.110
_cell_length_c 12.607
_cell_angle_alpha 90.00
_cell_angle_beta 90.00
_cell_angle_gamma 90.00
_space_group_name_H-M_alt 'I 4 m m'
_space_group_IT_number 107
_space_group_name_Hall 'I 4 -2'
loop_
_atom_site_label
_atom_site_type_symbol
_atom_site_fract_x
_atom_site_fract_y
_atom_site_fract_z
Pm1 Pm 0.000 0.000 0.000
Hg1 Hg 0.000 0.000 0.245
As1 As 0.000 0.000 0.473


3.
# TaSeBr2, optimized geometry, DFT PBE
# magnetic moment: 0.0 μB/f.u.
# calculated volume: 289.1 Å³ per cell
# ΔE to the lowest computed polymorph: 296.9 meV per atom
data_TaSeBr2
_chemical_formula_sum 'Ta3 Se3 Br6'
_cell_length_a 3.4419
_cell_length_b 3.4419
_cell_length_c 28.1799
_cell_angle_alpha 90.00
_cell_angle_beta 90.00
_cell_angle_gamma 120.00
_space_group_name_H-M_alt 'R 3 m'
_space_group_IT_number 160
_space_group_name_Hall 'R 3 -2"'
loop_
_atom_site_label
_atom_site_type_symbol
_atom_site_fract_x
_atom_site_fract_y
_atom_site_fract_z
Ta1 Ta 0.0000 0.0000 0.0000
Se1 Se 0.0000 0.0000 0.2747
Br1 Br 0.0000 0.0000 0.5050
Br2 Br 0.0000 0.0000 0.7315


4.
# Pr3Ge3Ir, optimized geometry, DFT PBE
# calculated formation energy: -0.823 eV per atom
# magnetic moment: 0.0 μB/f.u.
# calculated volume: 671.0 Å³ per cell
data_Pr3Ge3Ir
_chemical_formula_sum 'Pr12 Ge12 Ir4'
_cell_length_a 11.127
_cell_length_b 4.418
_cell_length_c 14.514
_cell_angle_alpha 90.00
_cell_angle_beta 109.87
_cell_angle_gamma 90.00
_space_group_name_H-M_alt 'C 1 2/m 1'
_space_group_IT_number 12
_space_group_name_Hall '-C 2y'
loop_
_atom_site_label
_atom_site_type_symbol
_atom_site_fract_x
_atom_site_fract_y
_atom_site_fract_z
Pr1 Pr 0.030 0.000 0.382
Pr2 Pr 0.103 0.000 0.921
Pr3 Pr 0.245 0.000 0.234
Ge1 Ge 0.040 0.500 0.233
Ge2 Ge 0.112 0.500 0.073
Ge3 Ge 0.153 0.500 0.537
Ir1 Ir 0.249 0.500 0.388


5.
# Os2RuBr, optimized geometry, DFT PBE
# magnetic moment: 0.0 μB/f.u.
# calculated volume: 122.7 Å³ per cell
# ΔE to the lowest computed polymorph: 574.3 meV per atom
data_Os2RuBr
_chemical_formula_sum 'Os4 Ru2 Br2'
_cell_length_a 4.140
_cell_length_b 4.140
_cell_length_c 7.160
_cell_angle_alpha 90.00
_cell_angle_beta 90.00
_cell_angle_gamma 90.00
_space_group_name_H-M_alt 'I -4 m 2'
_space_group_IT_number 119
_space_group_name_Hall 'I -4 -2'
loop_
_atom_site_label
_atom_site_type_symbol
_atom_site_fract_x
_atom_site_fract_y
_atom_site_fract_z
Os1 Os 0.000 0.000 0.000
Os2 Os 0.000 0.500 0.250
Ru1 Ru 0.000 0.500 0.750
Br1 Br 0.000 0.000 0.500


6.
# FeSiHg2, optimized geometry, DFT PBE
# magnetic moment: 2.6 μB/f.u.
# calculated volume: 226.3 Å³ per cell
# VASP energy: -12.2 eV per formula unit
data_FeSiHg2
_chemical_formula_sum 'Fe3 Si3 Hg6'
_cell_length_a 2.9452
_cell_length_b 2.9452
_cell_length_c 30.1213
_cell_angle_alpha 90.00
_cell_angle_beta 90.00
_cell_angle_gamma 120.00
_space_group_name_H-M_alt 'R -3 m'
_space_group_IT_number 166
_space_group_name_Hall '-R 3 2"'
loop_
_atom_site_label
_atom_site_type_symbol
_atom_site_fract_x
_atom_site_fract_y
_atom_site_fract_z
Fe1 Fe 0.0000 0.0000 0.0000
Si1 Si 0.0000 0.0000 0.5000
Hg1 Hg 0.0000 0.0000 0.2579


7.
# LiPr4Mg5, optimized geometry, DFT PBE
# calculated formation energy: -0.084 eV per atom
# magnetic moment: 0.0 μB/f.u.
# calculated volume: 285.1 Å³ per cell
data_LiPr4Mg5
_chemical_formula_sum 'Li1 Pr4 Mg5'
_cell_length_a 3.851
_cell_length_b 3.851
_cell_length_c 19.225
_cell_angle_alpha 90.00
_cell_angle_beta 90.00
_cell_angle_gamma 90.00
_space_group_name_H-M_alt 'P 4/m m m'
_space_group_IT_number 123
_space_group_name_Hall '-P 4 2'
loop_
_atom_site_label
_atom_site_type_symbol
_atom_site_fract_x
_atom_site_fract_y
_atom_site_fract_z
Li1 Li 0.000 0.000 0.000
Pr1 Pr 0.000 0.000 0.192
Pr2 Pr 0.000 0.000 0.396
Mg1 Mg 0.500 0.500 0.083
Mg2 Mg 0.500 0.500 0.293
Mg3 Mg 0.500 0.500 0.500


8.
# RbNbRe2, optimized geometry, DFT PBE
# calculated formation energy: 1.834 eV per atom
# magnetic moment: 0.0 μB/f.u.
# calculated volume: 449.0 Å³ per cell
# ΔE to the lowest computed polymorph: 12.3 meV per atom
data_RbNbRe2
_chemical_formula_sum 'Rb4 Nb4 Re8'
_cell_length_a 5.024
_cell_length_b 5.024
_cell_length_c 17.789
_cell_angle_alpha 90.00
_cell_angle_beta 90.00
_cell_angle_gamma 90.00
_space_group_name_H-M_alt 'I -4 2 d'
_space_group_IT_number 122
_space_group_name_Hall 'I -4 2bw'
loop_
_atom_site_label
_atom_site_type_symbol
_atom_site_fract_x
_atom_site_fract_y
_atom_site_fract_z
Rb1 Rb 0.000 0.000 0.000
Nb1 Nb 0.000 0.000 0.500
Re1 Re 0.038 0.250 0.625